1.
Computed, not measured: a relaxed Na2SmZr2Te6 crystal at the PBE-GGA level of DFT. Values from VASP.

Quantum ESPRESSO input file:
```
&SYSTEM
  ibrav = 0, nat = 11, ntyp = 4
/
ATOMIC_SPECIES
Na 22.99 Na.upf
Sm 150.36 Sm.upf
Zr 91.22 Zr.upf
Te 127.60 Te.upf
CELL_PARAMETERS angstrom
3.627 -6.329 0.000
3.627 6.329 0.000
-2.352 0.000 7.776
ATOMIC_POSITIONS crystal
Na 0.159 0.841 0.000
Na 0.841 0.159 0.000
Sm 0.000 0.000 0.500
Zr 0.332 0.668 0.500
Zr 0.668 0.332 0.500
Te 0.075 0.424 0.729
Te 0.282 0.282 0.273
Te 0.424 0.075 0.729
Te 0.576 0.925 0.271
Te 0.718 0.718 0.727
Te 0.925 0.576 0.271
```

Raw formation energy: -99.7 kJ/mol of atoms
Energy: -4.970 eV/atom

2.
Computed, not measured: a relaxed Na2SmZrTe4 crystal at the PBE-GGA level of DFT. Values from VASP.

Quantum ESPRESSO input file:
```
&SYSTEM
  ibrav = 0, nat = 8, ntyp = 4
/
ATOMIC_SPECIES
Na 22.99 Na.upf
Sm 150.36 Sm.upf
Zr 91.22 Zr.upf
Te 127.60 Te.upf
CELL_PARAMETERS angstrom
7.483 0.000 0.000
0.000 4.277 0.000
-2.448 0.000 7.697
ATOMIC_POSITIONS crystal
Na 0.000 0.000 0.000
Na 0.500 0.500 0.000
Sm 0.000 0.500 0.500
Zr 0.500 0.000 0.500
Te 0.260 0.000 0.735
Te 0.271 0.500 0.273
Te 0.729 0.500 0.727
Te 0.740 0.000 0.265
```

Raw formation energy: -105.2 kJ/mol of atoms
Energy: -4.649 eV/atom

3.
Computed, not measured: a relaxed Na3Sm2ZrTe6 crystal at the PBE-GGA level of DFT. Values from VASP.

Quantum ESPRESSO input file:
```
&SYSTEM
  ibrav = 0, nat = 12, ntyp = 4
/
ATOMIC_SPECIES
Na 22.99 Na.upf
Sm 150.36 Sm.upf
Zr 91.22 Zr.upf
Te 127.60 Te.upf
CELL_PARAMETERS angstrom
3.781 -6.552 0.000
3.781 6.552 0.000
-2.532 0.000 7.642
ATOMIC_POSITIONS crystal
Na 0.000 0.000 0.000
Na 0.328 0.672 0.000
Na 0.672 0.328 0.000
Sm 0.166 0.834 0.500
Sm 0.834 0.166 0.500
Zr 0.500 0.500 0.500
Te 0.105 0.422 0.267
Te 0.262 0.262 0.734
Te 0.422 0.105 0.267
Te 0.578 0.895 0.733
Te 0.738 0.738 0.266
Te 0.895 0.578 0.733
```

Raw formation energy: -112.2 kJ/mol of atoms
Energy: -4.562 eV/atom

4.
Computed, not measured: a relaxed NaSm2Th crystal at the PBE-GGA level of DFT. Values from VASP.

Quantum ESPRESSO input file:
```
&SYSTEM
  ibrav = 0, nat = 4, ntyp = 3
/
ATOMIC_SPECIES
Na 22.99 Na.upf
Sm 150.36 Sm.upf
Th 232.04 Th.upf
CELL_PARAMETERS angstrom
3.608 0.000 0.000
0.000 3.608 0.000
0.000 0.000 10.565
ATOMIC_POSITIONS crystal
Na 0.000 0.000 0.000
Sm 0.500 0.500 0.274
Sm 0.500 0.500 0.726
Th 0.000 0.000 0.500
```

Distance to the lowest polymorph of the same formula: 0 meV/atom
ΔH_f (0 K): 0.3 eV/f.u.
Energy: -4.462 eV/atom

5.
Computed, not measured: a relaxed NaSmTh2 crystal at the PBE-GGA level of DFT. Values from VASP.

Quantum ESPRESSO input file:
```
&SYSTEM
  ibrav = 0, nat = 4, ntyp = 3
/
ATOMIC_SPECIES
Na 22.99 Na.upf
Sm 150.36 Sm.upf
Th 232.04 Th.upf
CELL_PARAMETERS angstrom
1.738 1.003 13.154
-1.738 1.003 13.154
0.000 -2.006 13.154
ATOMIC_POSITIONS crystal
Na 0.000 0.000 0.000
Sm 0.500 0.500 0.500
Th 0.091 0.091 0.091
Th 0.909 0.909 0.909
```

ΔH_f (0 K): 1.0 eV/f.u.
Energy: -4.963 eV/atom

6.
Computed, not measured: a relaxed NaSm2Th crystal at the PBE-GGA level of DFT. Values from VASP.

Quantum ESPRESSO input file:
```
&SYSTEM
  ibrav = 0, nat = 4, ntyp = 3
/
ATOMIC_SPECIES
Na 22.99 Na.upf
Sm 150.36 Sm.upf
Th 232.04 Th.upf
CELL_PARAMETERS angstrom
1.790 1.033 12.736
-1.790 1.033 12.736
0.000 -2.066 12.736
ATOMIC_POSITIONS crystal
Na 0.000 0.000 0.000
Sm 0.093 0.093 0.093
Sm 0.907 0.907 0.907
Th 0.500 0.500 0.500
```

Distance to the lowest polymorph of the same formula: 50 meV/atom
ΔH_f (0 K): 0.5 eV/f.u.
Energy: -4.412 eV/atom

7.
Computed, not measured: a relaxed NaSmTl2 crystal at the PBE-GGA level of DFT. Values from VASP.

Quantum ESPRESSO input file:
```
&SYSTEM
  ibrav = 0, nat = 4, ntyp = 3
/
ATOMIC_SPECIES
Na 22.99 Na.upf
Sm 150.36 Sm.upf
Tl 204.38 Tl.upf
CELL_PARAMETERS angstrom
1.838 1.061 10.346
-1.838 1.061 10.346
0.000 -2.123 10.346
ATOMIC_POSITIONS crystal
Na 0.000 0.000 0.000
Sm 0.833 0.833 0.833
Tl 0.251 0.251 0.251
Tl 0.416 0.416 0.416
```

Distance to the lowest polymorph of the same formula: 166 meV/atom
ΔH_f (0 K): -0.4 eV/f.u.
Energy: -2.800 eV/atom

8.
Computed, not measured: a relaxed NaSm3Tl3 crystal at the PBE-GGA level of DFT. Values from VASP.

Quantum ESPRESSO input file:
```
&SYSTEM
  ibrav = 0, nat = 14, ntyp = 3
/
ATOMIC_SPECIES
Na 22.99 Na.upf
Sm 150.36 Sm.upf
Tl 204.38 Tl.upf
CELL_PARAMETERS angstrom
4.089 -6.048 0.000
4.089 6.048 0.000
-0.484 0.000 8.648
ATOMIC_POSITIONS crystal
Na 0.187 0.187 0.029
Na 0.813 0.813 0.971
Sm 0.170 0.170 0.418
Sm 0.293 0.707 0.000
Sm 0.300 0.700 0.500
Sm 0.700 0.300 0.500
Sm 0.707 0.293 0.000
Sm 0.830 0.830 0.582
Tl 0.032 0.336 0.743
Tl 0.336 0.032 0.743
Tl 0.490 0.490 0.755
Tl 0.510 0.510 0.245
Tl 0.664 0.968 0.257
Tl 0.968 0.664 0.257
```

ΔH_f (0 K): -1.2 eV/f.u.
Energy: -3.394 eV/atom

9.
Computed, not measured: a relaxed NaSmTl crystal at the PBE-GGA level of DFT. Values from VASP.

Quantum ESPRESSO input file:
```
&SYSTEM
  ibrav = 0, nat = 6, ntyp = 3
/
ATOMIC_SPECIES
Na 22.99 Na.upf
Sm 150.36 Sm.upf
Tl 204.38 Tl.upf
CELL_PARAMETERS angstrom
-1.798 1.798 14.980
1.798 -1.798 14.980
1.798 1.798 -14.980
ATOMIC_POSITIONS crystal
Na 0.060 0.060 0.000
Na 0.940 0.940 0.000
Sm 0.207 0.207 0.000
Sm 0.793 0.793 0.000
Tl 0.369 0.369 0.000
Tl 0.631 0.631 0.000
```

Distance to the lowest polymorph of the same formula: 59 meV/atom
ΔH_f (0 K): -0.3 eV/f.u.
Energy: -2.916 eV/atom

10.
Computed, not measured: a relaxed NaSmTl2 crystal at the PBE-GGA level of DFT. Values from VASP.

Quantum ESPRESSO input file:
```
&SYSTEM
  ibrav = 0, nat = 4, ntyp = 3
/
ATOMIC_SPECIES
Na 22.99 Na.upf
Sm 150.36 Sm.upf
Tl 204.38 Tl.upf
CELL_PARAMETERS angstrom
0.000 3.813 3.813
3.813 0.000 3.813
3.813 3.813 0.000
ATOMIC_POSITIONS crystal
Na 0.000 0.000 0.000
Sm 0.500 0.500 0.500
Tl 0.250 0.250 0.250
Tl 0.750 0.750 0.750
```

Distance to the lowest polymorph of the same formula: 17 meV/atom
ΔH_f (0 K): -1.0 eV/f.u.
Energy: -2.948 eV/atom

11.
Computed, not measured: a relaxed NaSm2Tl3 crystal at the PBE-GGA level of DFT. Values from VASP.

Quantum ESPRESSO input file:
```
&SYSTEM
  ibrav = 0, nat = 6, ntyp = 3
/
ATOMIC_SPECIES
Na 22.99 Na.upf
Sm 150.36 Sm.upf
Tl 204.38 Tl.upf
CELL_PARAMETERS angstrom
3.773 0.000 0.000
0.000 3.773 0.000
0.000 0.000 11.941
ATOMIC_POSITIONS crystal
Na 0.000 0.000 0.000
Sm 0.000 0.000 0.328
Sm 0.000 0.000 0.672
Tl 0.500 0.500 0.162
Tl 0.500 0.500 0.500
Tl 0.500 0.500 0.838
```

Distance to the lowest polymorph of the same formula: 18 meV/atom
ΔH_f (0 K): -1.7 eV/f.u.
Energy: -3.252 eV/atom

12.
Computed, not measured: a relaxed NaSm2Tl8 crystal at the PBE-GGA level of DFT. Values from VASP.

Quantum ESPRESSO input file:
```
&SYSTEM
  ibrav = 0, nat = 11, ntyp = 3
/
ATOMIC_SPECIES
Na 22.99 Na.upf
Sm 150.36 Sm.upf
Tl 204.38 Tl.upf
CELL_PARAMETERS angstrom
4.945 0.000 0.000
0.000 4.945 0.000
0.000 0.000 12.933
ATOMIC_POSITIONS crystal
Na 0.000 0.000 0.000
Sm 0.000 0.000 0.326
Sm 0.000 0.000 0.674
Tl 0.000 0.500 0.144
Tl 0.000 0.500 0.500
Tl 0.000 0.500 0.856
Tl 0.500 0.000 0.144
Tl 0.500 0.000 0.500
Tl 0.500 0.000 0.856
Tl 0.500 0.500 0.319
Tl 0.500 0.500 0.681
```

ΔH_f (0 K): -1.9 eV/f.u.
Energy: -2.869 eV/atom

Q: Among the records above, which one has the highest energy?
A: number 7

Q: The lowest energy belongs to which entry?
A: Na2SmZr2Te6